Entry from the Alexandria database: K3TbTa2O8 after structural relaxation (PBE).

Output
formation energy without anion corrections: -61.986 kcal/mol of atoms
V: 18.51 Å³ per atom
total magnetization: 0.000 μB/atom
crystal system: trigonal
DOS at the Fermi energy: 0.0 states/eV per cell

Geometry as CIF:
```
data_K3TbTa2O8
_space_group_name_H-M_alt 'P -3 m 1'
_space_group_IT_number 164
_space_group_name_Hall '-P 3 2"'
_cell_length_a 6.2065
_cell_length_b 6.2065
_cell_length_c 7.7688
_cell_angle_alpha 90.00
_cell_angle_beta 90.00
_cell_angle_gamma 120.00
loop_
_atom_site_label
_atom_site_type_symbol
_atom_site_fract_x
_atom_site_fract_y
_atom_site_fract_z
K1 K 0.0000 0.0000 0.0000
K2 K 0.3333 0.6667 0.6774
Tb1 Tb 0.0000 0.0000 0.5000
Ta1 Ta 0.3333 0.6667 0.2339
O1 O 0.1700 0.3400 0.3230
O2 O 0.3333 0.6667 0.9996
```

Entry from the Alexandria database: CaNd7Tm2 after structural relaxation (PBE).

Output
formation energy from the elements: 0.0390 eV per atom
V: 34.56 Å³ per atom
total magnetization: 0.000 μB/atom
crystal system: triclinic
DOS at the Fermi energy: 14.1 states/eV per cell

Geometry as CIF:
```
data_CaNd7Tm2
_space_group_name_H-M_alt 'P -1'
_space_group_IT_number 2
_cell_length_a 6.311
_cell_length_b 6.330
_cell_length_c 9.684
_cell_angle_alpha 102.38
_cell_angle_beta 108.94
_cell_angle_gamma 99.58
loop_
_space_group_symop_operation_xyz
'x,y,z'
'-x,-y,-z'
loop_
_atom_site_label
_atom_site_type_symbol
_atom_site_fract_x
_atom_site_fract_y
_atom_site_fract_z
Ca1 Ca 0.000 0.000 0.000
Nd1 Nd 0.000 0.500 0.500
Nd2 Nd 0.204 0.004 0.405
Nd3 Nd 0.206 0.500 0.897
Nd4 Nd 0.401 0.000 0.794
Tm1 Tm 0.403 0.507 0.304
```

Entry from the Alexandria database: TeOs2Pb after structural relaxation (PBE).

Output
formation energy without anion corrections: 22.971 kcal/mol of atoms
V: 18.87 Å³ per atom
total magnetization: 0.000 μB/atom
crystal system: tetragonal
DOS at the Fermi energy: 3.5 states/eV per cell

Geometry as CIF:
```
data_TeOs2Pb
_space_group_name_H-M_alt 'P 4/m m m'
_space_group_IT_number 123
_space_group_name_Hall '-P 4 2'
_cell_length_a 3.252
_cell_length_b 3.252
_cell_length_c 7.141
_cell_angle_alpha 90.00
_cell_angle_beta 90.00
_cell_angle_gamma 90.00
loop_
_atom_site_label
_atom_site_type_symbol
_atom_site_fract_x
_atom_site_fract_y
_atom_site_fract_z
Te1 Te 0.000 0.000 0.000
Os1 Os 0.500 0.500 0.216
Pb1 Pb 0.000 0.000 0.500
```

Entry from the Alexandria database: Sr6Li5Ca after structural relaxation (PBE).

Output
formation energy from the elements: 0.0421 eV per atom
V: 39.97 Å³ per atom
total magnetization: 0.000 μB/atom
crystal system: monoclinic
DOS at the Fermi energy: 11.7 states/eV per cell

Geometry as CIF:
```
data_Sr6Li5Ca
_space_group_name_H-M_alt 'P 1 2/m 1'
_space_group_IT_number 10
_cell_length_a 6.026
_cell_length_b 8.761
_cell_length_c 9.558
_cell_angle_alpha 90.00
_cell_angle_beta 108.07
_cell_angle_gamma 90.00
loop_
_space_group_symop_operation_xyz
'x,y,z'
'-x,-y,-z'
'-x,y,-z'
'x,-y,z'
loop_
_atom_site_label
_atom_site_type_symbol
_atom_site_fract_x
_atom_site_fract_y
_atom_site_fract_z
Sr1 Sr 0.000 0.233 0.000
Sr2 Sr 0.328 0.243 0.657
Li1 Li 0.158 0.500 0.313
Li2 Li 0.169 0.000 0.335
Li3 Li 0.500 0.000 0.000
Ca1 Ca 0.500 0.500 0.000
```

Entry from the Alexandria database: BaNd2Se4 after structural relaxation (PBE).

Output
formation energy without anion corrections: -44.321 kcal/mol of atoms
V: 28.03 Å³ per atom
total magnetization: 0.000 μB/atom
crystal system: tetragonal
DOS at the Fermi energy: 0.0 states/eV per cell

Geometry as CIF:
```
data_BaNd2Se4
_space_group_name_H-M_alt 'I -4 2 d'
_space_group_IT_number 122
_space_group_name_Hall 'I -4 2bw'
_cell_length_a 9.228
_cell_length_b 9.228
_cell_length_c 9.217
_cell_angle_alpha 90.00
_cell_angle_beta 90.00
_cell_angle_gamma 90.00
loop_
_atom_site_label
_atom_site_type_symbol
_atom_site_fract_x
_atom_site_fract_y
_atom_site_fract_z
Ba1 Ba 0.000 0.000 0.000
Nd1 Nd 0.121 0.750 0.625
Se1 Se 0.078 0.668 0.936
```

Entry from the Alexandria database: InPb2Cl after structural relaxation (PBE).

Output
formation energy without anion corrections: -5.940 kcal/mol of atoms
V: 28.58 Å³ per atom
total magnetization: 0.000 μB/atom
crystal system: trigonal
DOS at the Fermi energy: 8.4 states/eV per cell

Geometry as CIF:
```
data_InPb2Cl
_space_group_name_H-M_alt 'R -3 m'
_space_group_IT_number 166
_space_group_name_Hall '-R 3 2"'
_cell_length_a 3.5382
_cell_length_b 3.5382
_cell_length_c 31.6298
_cell_angle_alpha 90.00
_cell_angle_beta 90.00
_cell_angle_gamma 120.00
loop_
_atom_site_label
_atom_site_type_symbol
_atom_site_fract_x
_atom_site_fract_y
_atom_site_fract_z
In1 In 0.0000 0.0000 0.0000
Pb1 Pb 0.0000 0.0000 0.2427
Cl1 Cl 0.0000 0.0000 0.5000
```

- Among the records above, which one has the highest V?
  Sr6Li5Ca

Repeat the third record exactly.
Entry from the Alexandria database: TeOs2Pb after structural relaxation (PBE).

Output
formation energy without anion corrections: 22.971 kcal/mol of atoms
V: 18.87 Å³ per atom
total magnetization: 0.000 μB/atom
crystal system: tetragonal
DOS at the Fermi energy: 3.5 states/eV per cell

Geometry as CIF:
```
data_TeOs2Pb
_space_group_name_H-M_alt 'P 4/m m m'
_space_group_IT_number 123
_space_group_name_Hall '-P 4 2'
_cell_length_a 3.252
_cell_length_b 3.252
_cell_length_c 7.141
_cell_angle_alpha 90.00
_cell_angle_beta 90.00
_cell_angle_gamma 90.00
loop_
_atom_site_label
_atom_site_type_symbol
_atom_site_fract_x
_atom_site_fract_y
_atom_site_fract_z
Te1 Te 0.000 0.000 0.000
Os1 Os 0.500 0.500 0.216
Pb1 Pb 0.000 0.000 0.500
```